(1)
Li2TlPb | GGA-PBEsol | optimized geometry

Cell: 3.8167 3.8167 6.0318 Å, 90.00 90.00 90.00°
Fractional coordinates of all 4 atoms:
Li: 0.0000 0.0000 0.9861
Li: 0.5000 0.5000 0.2556
Tl: 0.5000 0.5000 0.7798
Pb: 0.0000 0.0000 0.4784

Energy relative to the lowest polymorph listed for this composition ... 0.28 eV per formula unit
Total magnetization ... 0.0 μB per formula unit
Theoretical density ... 8.0 g/cm3
Crystal system ... tetragonal
Formation enthalpy at 0 K ... -209 meV/atom


(2)
Li2TlPb | GGA-PBEsol | optimized geometry

Cell: 4.8943 4.8943 4.8943 Å, 60.00 60.00 60.00°
Fractional coordinates of all 4 atoms:
Li: 0.7500 0.7500 0.7500
Li: 0.2500 0.2500 0.2500
Tl: 0.5000 0.5000 0.5000
Pb: 0.0000 0.0000 0.0000

Energy relative to the lowest polymorph listed for this composition ... 0.00 eV per formula unit
Total magnetization ... 0.0 μB per formula unit
Theoretical density ... 8.5 g/cm3
Crystal system ... cubic
Formation enthalpy at 0 K ... -277 meV/atom